Record 1
! K5In3Si7O21 PBE optimized geometry; values from VASP
! **Energy**: -6.736 eV per atom
! **Symmetry**: Pna2_1 (33)
! **Calculated density**: 3.1 g cm⁻³
&SYSTEM
  ibrav = 0, nat = 144, ntyp = 4
/
ATOMIC_SPECIES
K 39.10 K.upf
In 114.82 In.upf
Si 28.09 Si.upf
O 16.00 O.upf
ATOMIC_POSITIONS crystal
K 0.068 0.103 0.000
K 0.093 0.635 0.979
K 0.113 0.345 0.133
K 0.175 0.947 0.354
K 0.240 0.342 0.524
K 0.260 0.842 0.024
K 0.325 0.447 0.854
K 0.387 0.845 0.633
K 0.407 0.135 0.479
K 0.432 0.603 0.500
K 0.568 0.397 0.000
K 0.593 0.865 0.979
K 0.613 0.155 0.133
K 0.675 0.553 0.354
K 0.740 0.158 0.524
K 0.760 0.658 0.024
K 0.825 0.053 0.854
K 0.887 0.655 0.633
K 0.907 0.365 0.479
K 0.932 0.897 0.500
In 0.068 0.140 0.369
In 0.141 0.549 0.385
In 0.187 0.732 0.382
In 0.313 0.232 0.882
In 0.359 0.049 0.885
In 0.432 0.640 0.869
In 0.568 0.360 0.369
In 0.641 0.951 0.385
In 0.687 0.768 0.382
In 0.813 0.268 0.882
In 0.859 0.451 0.885
In 0.932 0.860 0.869
Si 0.018 0.795 0.155
Si 0.053 0.494 0.677
Si 0.073 0.337 0.810
Si 0.115 0.793 0.680
Si 0.141 0.958 0.795
Si 0.175 0.107 0.658
Si 0.215 0.631 0.674
Si 0.285 0.131 0.174
Si 0.325 0.607 0.158
Si 0.359 0.458 0.295
Si 0.385 0.293 0.180
Si 0.427 0.837 0.310
Si 0.447 0.994 0.177
Si 0.482 0.295 0.655
Si 0.518 0.705 0.155
Si 0.553 0.006 0.677
Si 0.573 0.163 0.810
Si 0.615 0.707 0.680
Si 0.641 0.542 0.795
Si 0.675 0.393 0.658
Si 0.715 0.869 0.674
Si 0.785 0.369 0.174
Si 0.825 0.893 0.158
Si 0.859 0.042 0.295
Si 0.885 0.207 0.180
Si 0.927 0.663 0.310
Si 0.947 0.506 0.177
Si 0.982 0.205 0.655
O 0.008 0.217 0.224
O 0.018 0.964 0.840
O 0.035 0.652 0.395
O 0.037 0.805 0.002
O 0.041 0.291 0.674
O 0.062 0.139 0.719
O 0.066 0.476 0.525
O 0.069 0.498 0.222
O 0.112 0.578 0.718
O 0.117 0.424 0.760
O 0.125 0.808 0.527
O 0.130 0.802 0.230
O 0.163 0.010 0.662
O 0.165 0.295 0.891
O 0.173 0.867 0.756
O 0.180 0.095 0.235
O 0.189 0.719 0.731
O 0.190 0.136 0.511
O 0.219 0.983 0.909
O 0.223 0.637 0.517
O 0.227 0.634 0.250
O 0.273 0.134 0.750
O 0.277 0.137 0.017
O 0.281 0.483 0.409
O 0.310 0.636 0.011
O 0.311 0.219 0.231
O 0.320 0.595 0.735
O 0.327 0.367 0.256
O 0.335 0.795 0.391
O 0.337 0.510 0.162
O 0.370 0.302 0.730
O 0.375 0.308 0.027
O 0.383 0.924 0.260
O 0.388 0.078 0.218
O 0.431 0.998 0.722
O 0.434 0.976 0.025
O 0.438 0.639 0.219
O 0.459 0.791 0.174
O 0.463 0.305 0.502
O 0.465 0.152 0.895
O 0.482 0.464 0.340
O 0.492 0.717 0.724
O 0.508 0.283 0.224
O 0.518 0.536 0.840
O 0.535 0.848 0.395
O 0.537 0.695 0.002
O 0.541 0.209 0.674
O 0.562 0.361 0.719
O 0.566 0.024 0.525
O 0.569 0.002 0.222
O 0.612 0.922 0.718
O 0.617 0.076 0.760
O 0.625 0.692 0.527
O 0.630 0.698 0.230
O 0.663 0.490 0.662
O 0.665 0.205 0.891
O 0.673 0.633 0.756
O 0.680 0.405 0.235
O 0.689 0.781 0.731
O 0.690 0.364 0.511
O 0.719 0.517 0.909
O 0.723 0.863 0.517
O 0.727 0.866 0.250
O 0.773 0.366 0.750
O 0.777 0.363 0.017
O 0.781 0.017 0.409
O 0.810 0.864 0.011
O 0.811 0.281 0.231
O 0.820 0.905 0.735
O 0.827 0.133 0.256
O 0.835 0.705 0.391
O 0.837 0.990 0.162
O 0.870 0.198 0.730
O 0.875 0.192 0.027
O 0.883 0.576 0.260
O 0.888 0.422 0.218
O 0.931 0.502 0.722
O 0.934 0.524 0.025
O 0.938 0.861 0.219
O 0.959 0.709 0.174
O 0.963 0.195 0.502
O 0.965 0.348 0.895
O 0.982 0.036 0.340
O 0.992 0.783 0.724
CELL_PARAMETERS angstrom
12.691 0.000 0.000
0.000 17.125 0.000
0.000 0.000 10.424

Record 2
! KInSi2O6 PBE optimized geometry; values from VASP
! **Energy**: -6.731 eV per atom
! **Symmetry**: C2/c (15)
! **Calculated density**: 3.3 g cm⁻³
&SYSTEM
  ibrav = 0, nat = 20, ntyp = 4
/
ATOMIC_SPECIES
K 39.10 K.upf
In 114.82 In.upf
Si 28.09 Si.upf
O 16.00 O.upf
ATOMIC_POSITIONS crystal
K 0.098 0.902 0.750
K 0.902 0.098 0.250
In 0.254 0.746 0.250
In 0.746 0.254 0.750
Si 0.213 0.371 0.847
Si 0.371 0.213 0.347
Si 0.629 0.787 0.653
Si 0.787 0.629 0.153
O 0.018 0.253 0.730
O 0.207 0.588 0.891
O 0.253 0.018 0.230
O 0.305 0.337 0.136
O 0.337 0.305 0.636
O 0.412 0.793 0.609
O 0.588 0.207 0.391
O 0.663 0.695 0.364
O 0.695 0.663 0.864
O 0.747 0.982 0.770
O 0.793 0.412 0.109
O 0.982 0.747 0.270
CELL_PARAMETERS angstrom
5.270 -5.566 0.000
5.270 5.566 0.000
-1.723 0.000 5.208

Record 3
! K2InSi2O6 PBE optimized geometry; values from VASP
! **Energy**: -6.187 eV per atom
! **Symmetry**: R-3m (166)
! **Calculated density**: 3.5 g cm⁻³
&SYSTEM
  ibrav = 0, nat = 11, ntyp = 4
/
ATOMIC_SPECIES
K 39.10 K.upf
In 114.82 In.upf
Si 28.09 Si.upf
O 16.00 O.upf
ATOMIC_POSITIONS crystal
K 0.213 0.213 0.213
K 0.787 0.787 0.787
In 0.000 0.000 0.000
Si 0.426 0.426 0.426
Si 0.574 0.574 0.574
O 0.250 0.250 0.730
O 0.250 0.730 0.250
O 0.270 0.750 0.750
O 0.730 0.250 0.250
O 0.750 0.270 0.750
O 0.750 0.750 0.270
CELL_PARAMETERS angstrom
2.876 1.661 5.793
-2.876 1.661 5.793
0.000 -3.321 5.793

Record 4
! K2SmInO4 PBE optimized geometry; values from VASP
! **Energy**: -5.764 eV per atom
! **Symmetry**: P2/m (10)
! **Calculated density**: 5.2 g cm⁻³
&SYSTEM
  ibrav = 0, nat = 8, ntyp = 4
/
ATOMIC_SPECIES
K 39.10 K.upf
Sm 150.36 Sm.upf
In 114.82 In.upf
O 16.00 O.upf
ATOMIC_POSITIONS crystal
K 0.000 0.000 0.000
K 0.500 0.500 0.000
Sm 0.000 0.500 0.500
In 0.500 0.000 0.500
O 0.237 0.000 0.692
O 0.281 0.500 0.311
O 0.719 0.500 0.689
O 0.763 0.000 0.308
CELL_PARAMETERS angstrom
5.978 0.000 0.000
0.000 3.488 0.000
-2.042 0.000 6.277

Record 5
! K2In2SnO6 PBE optimized geometry; values from VASP
! **Energy**: -5.406 eV per atom
! **Symmetry**: C2/m (12)
! **Calculated density**: 4.9 g cm⁻³
&SYSTEM
  ibrav = 0, nat = 11, ntyp = 4
/
ATOMIC_SPECIES
K 39.10 K.upf
In 114.82 In.upf
Sn 118.71 Sn.upf
O 16.00 O.upf
ATOMIC_POSITIONS crystal
K 0.170 0.830 0.000
K 0.830 0.170 0.000
In 0.335 0.665 0.500
In 0.665 0.335 0.500
Sn 0.000 0.000 0.500
O 0.056 0.380 0.677
O 0.256 0.256 0.325
O 0.380 0.056 0.677
O 0.620 0.944 0.323
O 0.744 0.744 0.675
O 0.944 0.620 0.323
CELL_PARAMETERS angstrom
2.854 -4.904 0.000
2.854 4.904 0.000
-1.965 0.000 6.344

Record 6
! K2TaInO6 PBE optimized geometry; values from VASP
! **Energy**: -6.464 eV per atom
! **Symmetry**: Fm-3m (225)
! **Calculated density**: 5.3 g cm⁻³
&SYSTEM
  ibrav = 0, nat = 10, ntyp = 4
/
ATOMIC_SPECIES
K 39.10 K.upf
Ta 180.95 Ta.upf
In 114.82 In.upf
O 16.00 O.upf
ATOMIC_POSITIONS crystal
K 0.250 0.250 0.250
K 0.750 0.750 0.750
Ta 0.000 0.000 0.000
In 0.500 0.500 0.500
O 0.238 0.238 0.762
O 0.238 0.762 0.238
O 0.238 0.762 0.762
O 0.762 0.238 0.238
O 0.762 0.238 0.762
O 0.762 0.762 0.238
CELL_PARAMETERS angstrom
0.000 4.181 4.181
4.181 0.000 4.181
4.181 4.181 0.000

Record 7
! K3TbIn2O6 PBE optimized geometry; values from VASP
! **Energy**: -5.537 eV per atom
! **Symmetry**: C2/m (12)
! **Calculated density**: 5.3 g cm⁻³
&SYSTEM
  ibrav = 0, nat = 12, ntyp = 4
/
ATOMIC_SPECIES
K 39.10 K.upf
Tb 158.93 Tb.upf
In 114.82 In.upf
O 16.00 O.upf
ATOMIC_POSITIONS crystal
K 0.000 0.000 0.000
K 0.331 0.669 0.000
K 0.669 0.331 0.000
Tb 0.500 0.500 0.500
In 0.167 0.833 0.500
In 0.833 0.167 0.500
O 0.096 0.437 0.312
O 0.222 0.222 0.689
O 0.437 0.096 0.312
O 0.563 0.904 0.688
O 0.778 0.778 0.311
O 0.904 0.563 0.688
CELL_PARAMETERS angstrom
2.946 -5.103 0.000
2.946 5.103 0.000
-1.960 0.000 6.242

Record 8
! KInTc2O8 PBE optimized geometry; values from VASP
! **Energy**: -6.815 eV per atom
! **Symmetry**: C2/m (12)
! **Calculated density**: 3.6 g cm⁻³
&SYSTEM
  ibrav = 0, nat = 12, ntyp = 4
/
ATOMIC_SPECIES
K 39.10 K.upf
In 114.82 In.upf
Tc 98.00 Tc.upf
O 16.00 O.upf
ATOMIC_POSITIONS crystal
K 0.000 0.000 0.000
In 0.000 0.000 0.500
Tc 0.380 0.380 0.719
Tc 0.620 0.620 0.281
O 0.242 0.734 0.702
O 0.246 0.246 0.544
O 0.266 0.758 0.298
O 0.294 0.294 0.905
O 0.706 0.706 0.095
O 0.734 0.242 0.702
O 0.754 0.754 0.456
O 0.758 0.266 0.298
CELL_PARAMETERS angstrom
4.521 -3.040 0.000
4.521 3.040 0.000
-0.658 0.000 8.026

Record 9
! KInTe2O PBE optimized geometry; values from VASP
! **Energy**: -2.512 eV per atom
! **Symmetry**: P4/mmm (123)
! **Calculated density**: 3.7 g cm⁻³
&SYSTEM
  ibrav = 0, nat = 5, ntyp = 4
/
ATOMIC_SPECIES
K 39.10 K.upf
In 114.82 In.upf
Te 127.60 Te.upf
O 16.00 O.upf
ATOMIC_POSITIONS crystal
K 0.000 0.000 0.000
In 0.500 0.500 0.500
Te 0.000 0.500 0.000
Te 0.500 0.000 0.000
O 0.000 0.000 0.500
CELL_PARAMETERS angstrom
6.418 0.000 0.000
0.000 6.418 0.000
0.000 0.000 4.641

Record 10
! K3InTe2O9 PBE optimized geometry; values from VASP
! **Energy**: -5.087 eV per atom
! **Symmetry**: P-3m1 (164)
! **Calculated density**: 5.1 g cm⁻³
&SYSTEM
  ibrav = 0, nat = 15, ntyp = 4
/
ATOMIC_SPECIES
K 39.10 K.upf
In 114.82 In.upf
Te 127.60 Te.upf
O 16.00 O.upf
ATOMIC_POSITIONS crystal
K 0.000 0.000 0.000
K 0.333 0.667 0.665
K 0.667 0.333 0.335
In 0.000 0.000 0.500
Te 0.333 0.667 0.171
Te 0.667 0.333 0.829
O 0.000 0.500 0.000
O 0.174 0.348 0.318
O 0.174 0.826 0.318
O 0.348 0.174 0.682
O 0.500 0.000 0.000
O 0.500 0.500 0.000
O 0.652 0.826 0.318
O 0.826 0.174 0.682
O 0.826 0.652 0.682
CELL_PARAMETERS angstrom
5.773 0.000 0.000
-2.887 5.000 0.000
0.000 0.000 7.101

Record 11
! K2TiInO5 PBE optimized geometry; values from VASP
! **Energy**: -6.093 eV per atom
! **Symmetry**: Cmc2_1 (36)
! **Calculated density**: 3.7 g cm⁻³
&SYSTEM
  ibrav = 0, nat = 18, ntyp = 4
/
ATOMIC_SPECIES
K 39.10 K.upf
Ti 47.87 Ti.upf
In 114.82 In.upf
O 16.00 O.upf
ATOMIC_POSITIONS crystal
K 0.087 0.913 0.500
K 0.154 0.846 0.117
K 0.846 0.154 0.617
K 0.913 0.087 0.000
Ti 0.486 0.514 0.276
Ti 0.514 0.486 0.776
In 0.219 0.781 0.845
In 0.781 0.219 0.345
O 0.047 0.953 0.836
O 0.281 0.719 0.450
O 0.321 0.679 0.246
O 0.380 0.620 0.813
O 0.496 0.504 0.134
O 0.504 0.496 0.634
O 0.620 0.380 0.313
O 0.679 0.321 0.746
O 0.719 0.281 0.950
O 0.953 0.047 0.336
CELL_PARAMETERS angstrom
1.749 -6.672 0.000
1.749 6.672 0.000
0.000 0.000 12.434

Record 12
! K2TiIn2O6 PBE optimized geometry; values from VASP
! **Energy**: -6.072 eV per atom
! **Symmetry**: C2/m (12)
! **Calculated density**: 4.4 g cm⁻³
&SYSTEM
  ibrav = 0, nat = 11, ntyp = 4
/
ATOMIC_SPECIES
K 39.10 K.upf
Ti 47.87 Ti.upf
In 114.82 In.upf
O 16.00 O.upf
ATOMIC_POSITIONS crystal
K 0.169 0.831 0.000
K 0.831 0.169 0.000
Ti 0.000 0.000 0.500
In 0.335 0.665 0.500
In 0.665 0.335 0.500
O 0.055 0.365 0.673
O 0.245 0.245 0.328
O 0.365 0.055 0.673
O 0.635 0.945 0.327
O 0.755 0.755 0.672
O 0.945 0.635 0.327
CELL_PARAMETERS angstrom
2.799 -4.799 0.000
2.799 4.799 0.000
-1.893 0.000 6.316